Re2TcMo | Alexandria via LeMat-Bulk | PBE | optimized geometry; space-group type = Cmmm; crystal system = orthorhombic; E = -90.69 eV per cell; V = 121 Å³ per cell; energy above the most stable polymorph in this dataset = 0.0804 eV per atom
1.0
3.1251 0.0000 0.0000
0.0000 4.4071 0.0000
0.0000 0.0000 8.8202
Re Tc Mo
4 2 2
Direct
0.0000 0.0000 0.2476
0.0000 0.0000 0.7524
0.5000 0.5000 0.2476
0.5000 0.5000 0.7524
0.0000 0.5000 0.0000
0.5000 0.0000 0.0000
0.0000 0.5000 0.5000
0.5000 0.0000 0.5000